# 1
Compound: K2PrAgCl6
Source: the Alexandria database
Functional: PBEsol
Structure: optimized geometry

For the total magnetic moment, the calculation gives 0.00 μB/f.u. As for the uncorrected formation energy: -17.08 eV per formula unit. The value obtained for the volume is 30.53 A^3/atom.

The structure belongs to space group Fm-3m (No. 225); the cell edges are 10.6891, 10.6891 and 10.6891 Å and the angles 90.00°, 90.00° and 90.00°. The asymmetric unit holds K at (0.2500, 0.2500, 0.2500), Pr at (0.0000, 0.0000, 0.0000), Ag at (0.0000, 0.0000, 0.5000) and Cl at (0.0000, 0.0000, 0.2529).

***

# 2
Compound: Tl2FeAgH
Source: the Alexandria database
Functional: PBEsol
Structure: optimized geometry

The total energy comes out at -2.937 eV/atom. For the total magnetic moment, the calculation gives 3.58 μB/f.u. The value obtained for the volume is 27.57 A^3/atom.

The structure belongs to space group P4/mmm (No. 123); the cell edges are 5.3346, 5.3346 and 4.8441 Å and the angles 90.00°, 90.00° and 90.00°. The asymmetric unit holds Tl at (0.0000, 0.5000, 0.0000), Fe at (0.0000, 0.0000, 0.5000), Ag at (0.0000, 0.0000, 0.0000) and H at (0.5000, 0.5000, 0.5000).

***

# 3
Compound: Zr2MoOs
Source: the Alexandria database
Functional: PBEsol
Structure: optimized geometry

For the total magnetic moment, the calculation gives 0.00 μB/f.u. The value obtained for the volume is 17.54 A^3/atom. The value obtained for the formation energy from the elements is -228 meV/atom.

The structure belongs to space group Imm2 (No. 44); the cell edges are 3.2297, 4.5504 and 9.5502 Å and the angles 90.00°, 90.00° and 90.00°. The asymmetric unit holds Zr at (0.0000, 0.0000, 0.0000), Zr at (0.0000, 0.5000, 0.2353), Mo at (0.0000, 0.0000, 0.4799) and Os at (0.0000, 0.5000, 0.7507).

***

# 4
Compound: FeSb
Source: the Alexandria database
Functional: PBEsol
Structure: optimized geometry

For the total magnetic moment, the calculation gives 2.29 μB/f.u. As for the uncorrected formation energy: 0.19 eV per formula unit. The value obtained for the volume is 18.20 A^3/atom.

The structure belongs to space group P4/nmm (No. 129, origin choice 2); the cell edges are 3.1226, 3.1226 and 7.4674 Å and the angles 90.00°, 90.00° and 90.00°. The asymmetric unit holds Fe at (0.2500, 0.2500, 0.0766) and Sb at (0.2500, 0.2500, 0.7058).